KFeICl2 (PBE-GGA, relaxed); symmetry = P4/mmm, No. 123; energy relative to the elements, uncorrected = -0.92 eV per atom; density of states at the Fermi level = 4.0 states/eV/cell
1.0
4.932 0.000 0.000
0.000 4.932 0.000
0.000 0.000 5.820
K Fe I Cl
1 1 1 2
direct
0.000 0.000 0.000
0.500 0.500 0.500
0.500 0.500 0.000
0.000 0.500 0.500
0.500 0.000 0.500


FeI2NCl (PBE-GGA, relaxed); symmetry = P4/mmm, No. 123; energy relative to the elements, uncorrected = 0.44 eV per atom; density of states at the Fermi level = 5.2 states/eV/cell; polymorph energy (0 for the lowest one) = 0.00 eV/f.u.
1.0
5.549 0.000 0.000
0.000 5.549 0.000
0.000 0.000 3.450
Fe I N Cl
1 2 1 1
direct
0.000 0.000 0.000
0.000 0.500 0.000
0.500 0.000 0.000
0.000 0.000 0.500
0.500 0.500 0.500


FeI2NCl (PBE-GGA, relaxed); symmetry = P4/mmm, No. 123; energy relative to the elements, uncorrected = 1.20 eV per atom; density of states at the Fermi level = 5.3 states/eV/cell; polymorph energy (0 for the lowest one) = 3.81 eV/f.u.
1.0
5.106 0.000 0.000
0.000 5.106 0.000
0.000 0.000 4.257
Fe I N Cl
1 2 1 1
direct
0.000 0.000 0.000
0.000 0.500 0.500
0.500 0.000 0.500
0.500 0.500 0.500
0.500 0.500 0.000


FeIN2Cl (PBE-GGA, relaxed); symmetry = P4/mmm, No. 123; energy relative to the elements, uncorrected = 2.27 eV per atom; density of states at the Fermi level = 6.8 states/eV/cell; polymorph energy (0 for the lowest one) = 5.73 eV/f.u.
1.0
3.917 0.000 0.000
0.000 3.917 0.000
0.000 0.000 6.901
Fe I N Cl
1 1 2 1
direct
0.000 0.000 0.000
0.500 0.500 0.000
0.000 0.500 0.500
0.500 0.000 0.500
0.500 0.500 0.500


FeIN2Cl (PBE-GGA, relaxed); symmetry = P4/mmm, No. 123; energy relative to the elements, uncorrected = 1.12 eV per atom; density of states at the Fermi level = 1.9 states/eV/cell; polymorph energy (0 for the lowest one) = 0.00 eV/f.u.
1.0
3.729 0.000 0.000
0.000 3.729 0.000
0.000 0.000 6.482
Fe I N Cl
1 1 2 1
direct
0.000 0.000 0.000
0.000 0.000 0.500
0.000 0.500 0.000
0.500 0.000 0.000
0.500 0.500 0.500


NaFeICl2 (PBE-GGA, relaxed); symmetry = P4/mmm, No. 123; energy relative to the elements, uncorrected = -0.79 eV per atom; density of states at the Fermi level = 3.4 states/eV/cell
1.0
4.763 0.000 0.000
0.000 4.763 0.000
0.000 0.000 6.016
Na Fe I Cl
1 1 1 2
direct
0.000 0.000 0.000
0.500 0.500 0.500
0.500 0.500 0.000
0.000 0.500 0.500
0.500 0.000 0.500


FePICl2 (PBE-GGA, relaxed); symmetry = P4/mmm, No. 123; energy relative to the elements, uncorrected = 0.24 eV per atom; density of states at the Fermi level = 6.8 states/eV/cell; polymorph energy (0 for the lowest one) = 0.00 eV/f.u.
1.0
4.578 0.000 0.000
0.000 4.578 0.000
0.000 0.000 4.747
Fe P I Cl
1 1 1 2
direct
0.000 0.000 0.000
0.000 0.000 0.500
0.500 0.500 0.500
0.000 0.500 0.000
0.500 0.000 0.000


FeP2ICl (PBE-GGA, relaxed); symmetry = P4/mmm, No. 123; energy relative to the elements, uncorrected = 0.38 eV per atom; density of states at the Fermi level = 3.8 states/eV/cell; polymorph energy (0 for the lowest one) = 0.00 eV/f.u.
1.0
4.499 0.000 0.000
0.000 4.499 0.000
0.000 0.000 4.698
Fe P I Cl
1 2 1 1
direct
0.000 0.000 0.000
0.000 0.500 0.000
0.500 0.000 0.000
0.500 0.500 0.500
0.000 0.000 0.500


Fe2PbI6Cl2 (PBE-GGA, relaxed); symmetry = P-3, No. 147; energy relative to the elements, uncorrected = -0.42 eV per atom
1.0
7.553 0.000 0.000
-3.776 6.541 0.000
0.000 0.000 10.278
Fe Pb I Cl
2 1 6 2
direct
0.333 0.667 0.232
0.667 0.333 0.768
0.000 0.000 0.500
0.002 0.652 0.313
0.348 0.350 0.313
0.350 0.002 0.687
0.650 0.998 0.313
0.652 0.650 0.687
0.998 0.348 0.687
0.333 0.667 0.023
0.667 0.333 0.977


Fe2PdI6Cl2 (PBE-GGA, relaxed); symmetry = P-3, No. 147; energy relative to the elements, uncorrected = -0.29 eV per atom
1.0
7.129 0.000 0.000
-3.564 6.174 0.000
0.000 0.000 9.602
Fe Pd I Cl
2 1 6 2
direct
0.333 0.667 0.240
0.667 0.333 0.760
0.000 0.000 0.500
0.001 0.683 0.327
0.317 0.318 0.327
0.318 0.001 0.673
0.682 0.999 0.327
0.683 0.682 0.673
0.999 0.317 0.673
0.333 0.667 0.017
0.667 0.333 0.983


RbFeI2Cl (PBE-GGA, relaxed); symmetry = P4/mmm, No. 123; energy relative to the elements, uncorrected = -0.74 eV per atom; density of states at the Fermi level = 4.9 states/eV/cell
1.0
5.856 0.000 0.000
0.000 5.856 0.000
0.000 0.000 4.815
Rb Fe I Cl
1 1 2 1
direct
0.000 0.000 0.000
0.500 0.500 0.500
0.000 0.500 0.500
0.500 0.000 0.500
0.500 0.500 0.000


FeS2ICl (PBE-GGA, relaxed); symmetry = P4/mmm, No. 123; energy relative to the elements, uncorrected = 1.09 eV per atom; density of states at the Fermi level = 8.8 states/eV/cell; polymorph energy (0 for the lowest one) = 3.97 eV/f.u.
1.0
5.125 0.000 0.000
0.000 5.125 0.000
0.000 0.000 5.344
Fe S I Cl
1 2 1 1
direct
0.000 0.000 0.000
0.000 0.500 0.500
0.500 0.000 0.500
0.500 0.500 0.500
0.500 0.500 0.000


FeS2ICl (PBE-GGA, relaxed); symmetry = P4/mmm, No. 123; energy relative to the elements, uncorrected = 0.30 eV per atom; density of states at the Fermi level = 7.0 states/eV/cell; polymorph energy (0 for the lowest one) = 0.00 eV/f.u.
1.0
4.542 0.000 0.000
0.000 4.542 0.000
0.000 0.000 4.635
Fe S I Cl
1 2 1 1
direct
0.000 0.000 0.000
0.000 0.500 0.000
0.500 0.000 0.000
0.500 0.500 0.500
0.000 0.000 0.500


FeSbI2Cl (PBE-GGA, relaxed); symmetry = P4/mmm, No. 123; energy relative to the elements, uncorrected = 0.24 eV per atom; density of states at the Fermi level = 5.4 states/eV/cell
1.0
5.249 0.000 0.000
0.000 5.249 0.000
0.000 0.000 5.200
Fe Sb I Cl
1 1 2 1
direct
0.000 0.000 0.000
0.000 0.000 0.500
0.000 0.500 0.000
0.500 0.000 0.000
0.500 0.500 0.500


TlFe2I6Cl2 (PBE-GGA, relaxed); symmetry = P-3, No. 147; energy relative to the elements, uncorrected = -0.35 eV per atom; density of states at the Fermi level = 4.3 states/eV/cell
1.0
7.512 0.000 0.000
-3.756 6.505 0.000
0.000 0.000 10.228
Tl Fe I Cl
1 2 6 2
direct
0.000 0.000 0.000
0.333 0.667 0.729
0.667 0.333 0.271
0.005 0.656 0.812
0.344 0.349 0.812
0.349 0.005 0.188
0.651 0.995 0.812
0.656 0.651 0.188
0.995 0.344 0.188
0.333 0.667 0.519
0.667 0.333 0.481


Tl2FeI2Cl2 (PBE-GGA, relaxed); symmetry = C2/m, No. 12; energy relative to the elements, uncorrected = -0.62 eV per atom; density of states at the Fermi level = 1.1 states/eV/cell
1.0
7.375 -2.191 0.000
7.375 2.191 0.000
-3.960 0.000 7.220
Tl Fe I Cl
2 1 2 2
direct
0.153 0.153 0.190
0.847 0.847 0.810
0.000 0.000 0.500
0.468 0.468 0.234
0.532 0.532 0.766
0.177 0.177 0.595
0.823 0.823 0.405


InFe3Cl (PBE-GGA, relaxed); symmetry = Pm-3m, No. 221; energy relative to the elements, uncorrected = 0.67 eV per atom; density of states at the Fermi level = 3.1 states/eV/cell; polymorph energy (0 for the lowest one) = 0.00 eV/f.u.
1.0
4.240 0.000 0.000
0.000 4.240 0.000
0.000 0.000 4.240
In Fe Cl
1 3 1
direct
0.000 0.000 0.000
0.000 0.500 0.500
0.500 0.000 0.500
0.500 0.500 0.000
0.500 0.500 0.500


InFe4Cl (PBE-GGA, relaxed); symmetry = F-43m, No. 216; energy relative to the elements, uncorrected = 0.43 eV per atom; density of states at the Fermi level = 3.5 states/eV/cell
1.0
0.000 3.620 3.620
3.620 0.000 3.620
3.620 3.620 0.000
In Fe Cl
1 4 1
direct
0.000 0.000 0.000
0.374 0.374 0.374
0.374 0.374 0.879
0.374 0.879 0.374
0.879 0.374 0.374
0.750 0.750 0.750


InFe3Cl (PBE-GGA, relaxed); symmetry = Pm-3m, No. 221; energy relative to the elements, uncorrected = 1.46 eV per atom; density of states at the Fermi level = 14.7 states/eV/cell; polymorph energy (0 for the lowest one) = 3.93 eV/f.u.
1.0
5.018 0.000 0.000
0.000 5.018 0.000
0.000 0.000 5.018
In Fe Cl
1 3 1
direct
0.000 0.000 0.000
0.000 0.000 0.500
0.000 0.500 0.000
0.500 0.000 0.000
0.500 0.500 0.500


InFeCl2 (PBE-GGA, relaxed); symmetry = P2/m, No. 10; energy relative to the elements, uncorrected = -0.34 eV per atom; density of states at the Fermi level = 2.5 states/eV/cell; polymorph energy (0 for the lowest one) = 0.41 eV/f.u.
1.0
3.388 0.000 0.000
0.000 3.314 0.000
-0.091 0.000 9.220
In Fe Cl
1 1 2
direct
0.000 0.000 0.000
0.000 0.000 0.500
0.022 0.500 0.682
0.978 0.500 0.318